The following is a DFT calculation (SCAN) of a PBEsol-optimized structure of ZrIn2Re.

Cell and atoms, written as CIF:
```
data_ZrIn2Re
_chemical_formula_sum 'Zr2 In4 Re2'
_space_group_name_H-M_alt 'C m m 2'
_space_group_IT_number 35
_cell_length_a 3.376
_cell_length_b 5.037
_cell_length_c 9.490
_cell_angle_alpha 90.00
_cell_angle_beta 90.00
_cell_angle_gamma 90.00
loop_
_space_group_symop_operation_xyz
'x,y,z'
'-x,-y,z'
'-x,y,z'
'x,-y,z'
'x+1/2,y+1/2,z'
'-x+1/2,-y+1/2,z'
'-x+1/2,y+1/2,z'
'x+1/2,-y+1/2,z'
loop_
_atom_site_label
_atom_site_type_symbol
_atom_site_fract_x
_atom_site_fract_y
_atom_site_fract_z
Zr1 Zr 0.000 0.000 0.000
In1 In 0.000 0.000 0.448
In2 In 0.000 0.500 0.731
Re1 Re 0.000 0.500 0.212
```

Calculated values
ΔH_f (0 K): 0.204 eV/atom
calculated volume: 161.4 Å³ per cell
offset from the most stable computed form: 127 meV per atom


The following is a DFT calculation (SCAN) of a PBEsol-optimized structure of ZrIn2Re.

Cell and atoms, written as CIF:
```
data_ZrIn2Re
_chemical_formula_sum 'Zr2 In4 Re2'
_space_group_name_H-M_alt 'I m m 2'
_space_group_IT_number 44
_cell_length_a 3.584
_cell_length_b 4.671
_cell_length_c 9.192
_cell_angle_alpha 90.00
_cell_angle_beta 90.00
_cell_angle_gamma 90.00
loop_
_space_group_symop_operation_xyz
'x,y,z'
'-x,-y,z'
'-x,y,z'
'x,-y,z'
'x+1/2,y+1/2,z+1/2'
'-x+1/2,-y+1/2,z+1/2'
'-x+1/2,y+1/2,z+1/2'
'x+1/2,-y+1/2,z+1/2'
loop_
_atom_site_label
_atom_site_type_symbol
_atom_site_fract_x
_atom_site_fract_y
_atom_site_fract_z
Zr1 Zr 0.000 0.000 0.000
In1 In 0.000 0.000 0.533
In2 In 0.000 0.500 0.768
Re1 Re 0.000 0.500 0.281
```

Calculated values
ΔH_f (0 K): 0.087 eV/atom
calculated volume: 153.9 Å³ per cell
offset from the most stable computed form: 10 meV per atom


The following is a DFT calculation (SCAN) of a PBEsol-optimized structure of ZrInRe2.

Cell and atoms, written as CIF:
```
data_ZrInRe2
_chemical_formula_sum 'Zr2 In2 Re4'
_space_group_name_H-M_alt 'I m m m'
_space_group_IT_number 71
_space_group_name_Hall '-I 2 2'
_cell_length_a 3.306
_cell_length_b 4.585
_cell_length_c 9.071
_cell_angle_alpha 90.00
_cell_angle_beta 90.00
_cell_angle_gamma 90.00
loop_
_atom_site_label
_atom_site_type_symbol
_atom_site_fract_x
_atom_site_fract_y
_atom_site_fract_z
Zr1 Zr 0.000 0.000 0.000
In1 In 0.000 0.000 0.500
Re1 Re 0.000 0.500 0.259
```

Calculated values
ΔH_f (0 K): 0.182 eV/atom
calculated volume: 137.5 Å³ per cell


| no. | total magnetic moment (μB per formula unit) |
| --- | --- |
| 1 | 0.0 |
| 2 | 0.0 |
| 3 | 0.0 |